# 1
DFT (GGA-PBE) results for crystalline LiNpInO5 at its relaxed geometry.

Results
The crystal system is monoclinic. The calculation puts the energy relative to the elements, uncorrected at -204.5 kJ/mol of atoms.

Structure (CIF):
```
data_LiNpInO5
_chemical_formula_sum 'Li4 Np4 In4 O20'
_space_group_name_H-M_alt 'C 1 2/c 1'
_space_group_IT_number 15
_space_group_name_Hall '-C 2yc'
_cell_length_a 6.535
_cell_length_b 9.292
_cell_length_c 7.800
_cell_angle_alpha 90.00
_cell_angle_beta 114.07
_cell_angle_gamma 90.00
loop_
_atom_site_label
_atom_site_type_symbol
_atom_site_fract_x
_atom_site_fract_y
_atom_site_fract_z
Li1 Li 0.000 0.061 0.250
Np1 Np 0.250 0.250 0.000
In1 In 0.000 0.395 0.250
O1 O 0.000 0.370 0.750
O2 O 0.009 0.203 0.433
O3 O 0.238 0.071 0.847
```

# 2
DFT (GGA-PBE) results for crystalline Pr4Er3PuTe8 at its relaxed geometry.

Results
The crystal system is trigonal. The calculation puts the energy relative to the elements, uncorrected at -127.7 kJ/mol of atoms.

Structure (CIF):
```
data_Pr4Er3PuTe8
_chemical_formula_sum 'Pr12 Er9 Pu3 Te24'
_space_group_name_H-M_alt 'R -3 m'
_space_group_IT_number 166
_space_group_name_Hall '-R 3 2"'
_cell_length_a 8.7893
_cell_length_b 8.7893
_cell_length_c 22.2004
_cell_angle_alpha 90.00
_cell_angle_beta 90.00
_cell_angle_gamma 120.00
loop_
_atom_site_label
_atom_site_type_symbol
_atom_site_fract_x
_atom_site_fract_y
_atom_site_fract_z
Pr1 Pr 0.0000 0.0000 0.0000
Pr2 Pr 0.0000 0.5000 0.0000
Er1 Er 0.0000 0.5000 0.5000
Pu1 Pu 0.0000 0.0000 0.5000
Te1 Te 0.0000 0.0000 0.2441
Te2 Te 0.0038 0.5019 0.7549
```

# 3
DFT (GGA-PBE) results for crystalline ScNi at its relaxed geometry.

Results
The crystal system is orthorhombic. For the uncorrected energy, the calculation gives -6.38 eV per atom.

Structure (CIF):
```
data_ScNi
_chemical_formula_sum 'Sc4 Ni4'
_space_group_name_H-M_alt 'I m m a'
_space_group_IT_number 74
_space_group_name_Hall '-I 2b 2'
_cell_length_a 3.424
_cell_length_b 4.094
_cell_length_c 9.119
_cell_angle_alpha 90.00
_cell_angle_beta 90.00
_cell_angle_gamma 90.00
loop_
_atom_site_label
_atom_site_type_symbol
_atom_site_fract_x
_atom_site_fract_y
_atom_site_fract_z
Sc1 Sc 0.000 0.250 0.116
Ni1 Ni 0.000 0.250 0.632
```